No. 1
Compound: Ba3Nd2DySe6
Source: Alexandria via LeMat-Bulk
Functional: PBE
Structure: optimized geometry

The value obtained for the energy relative to the elements, uncorrected is -2203 kJ/mol of formula units.

Lattice parameters (Å, degrees): 7.5548 7.5548 7.8274 99.28 99.28 119.94
Positions (direct):
Ba  0.1694  0.8306  0.5000
Ba  0.8306  0.1694  0.5000
Ba  0.5000  0.5000  0.5000
Nd  0.3342  0.6658  0.0000
Nd  0.6658  0.3342  0.0000
Dy  0.0000  0.0000  0.0000
Se  0.9277  0.6027  0.7823
Se  0.7490  0.7490  0.2204
Se  0.0723  0.3973  0.2177
Se  0.6027  0.9277  0.7823
Se  0.2510  0.2510  0.7796
Se  0.3973  0.0723  0.2177



No. 2
Compound: YHo3S6
Source: Alexandria via LeMat-Bulk
Functional: PBE
Structure: optimized geometry

The value obtained for the energy relative to the elements, uncorrected is -1985 kJ/mol of formula units. The distance to the lowest polymorph of the same formula is 0.014 eV per atom.

Lattice parameters (Å, degrees): 8.0104 8.0104 8.0104 91.05 91.05 91.05
Positions (direct):
Y  0.0000  0.0000  0.0000
Y  0.5000  0.5000  0.5000
Ho  0.4331  0.9236  0.7529
Ho  0.9236  0.7529  0.4331
Ho  0.2471  0.5669  0.0764
Ho  0.7529  0.4331  0.9236
Ho  0.0764  0.2471  0.5669
Ho  0.5669  0.0764  0.2471
S  0.3168  0.9076  0.0819
S  0.0924  0.9181  0.6832
S  0.5959  0.8205  0.4649
S  0.9181  0.6832  0.0924
S  0.4649  0.5959  0.8205
S  0.1795  0.5351  0.4041
S  0.8205  0.4649  0.5959
S  0.5351  0.4041  0.1795
S  0.0819  0.3168  0.9076
S  0.4041  0.1795  0.5351
S  0.9076  0.0819  0.3168
S  0.6832  0.0924  0.9181



No. 3
Compound: K3Li2AgF9
Source: Alexandria via LeMat-Bulk
Functional: PBE
Structure: optimized geometry

The value obtained for the energy relative to the elements, uncorrected is -3212 kJ/mol of formula units.

Lattice parameters (Å, degrees): 5.8392 5.8392 7.2878 90.00 90.00 120.00
Positions (direct):
K  0.3333  0.6667  0.6965
K  0.0000  0.0000  0.0000
K  0.6667  0.3333  0.3035
Li  0.3333  0.6667  0.1231
Li  0.6667  0.3333  0.8769
Ag  0.0000  0.0000  0.5000
F  0.8354  0.1646  0.6625
F  0.8354  0.6708  0.6625
F  0.3292  0.1646  0.6625
F  0.6708  0.8354  0.3375
F  0.1646  0.3292  0.3375
F  0.1646  0.8354  0.3375
F  0.5000  0.0000  0.0000
F  0.0000  0.5000  0.0000
F  0.5000  0.5000  0.0000



No. 4
Compound: ZrSc5Pt6
Source: Alexandria via LeMat-Bulk
Functional: PBE
Structure: optimized geometry

As for the formation energy: -27.24 kcal/mol of atoms.

Lattice parameters (Å, degrees): 4.6884 8.1167 8.1167 119.97 106.76 106.76
Positions (direct):
Sc  0.5000  0.1692  0.8308
Sc  0.0000  0.3335  0.6665
Sc  0.5000  0.5000  0.5000
Sc  0.0000  0.6665  0.3335
Sc  0.5000  0.8308  0.1692
Pt  0.2494  0.0833  0.4145
Pt  0.7506  0.5855  0.9167
Pt  0.7469  0.2456  0.2456
Pt  0.2531  0.7544  0.7544
Pt  0.2494  0.4145  0.0833
Pt  0.7506  0.9167  0.5855
Zr  0.0000  0.0000  0.0000



No. 5
Compound: Ac2TmSc
Source: Alexandria via LeMat-Bulk
Functional: PBE
Structure: optimized geometry

As for the formation energy: 2.23 kcal/mol of atoms. The distance to the lowest polymorph of the same formula is 0.018 eV per atom.

Lattice parameters (Å, degrees): 5.8551 5.8551 5.8551 60.00 60.00 60.00
Positions (direct):
Sc  0.5000  0.5000  0.5000
Ac  0.2500  0.2500  0.2500
Ac  0.7500  0.7500  0.7500
Tm  0.0000  0.0000  0.0000



No. 6
Compound: LaSb2TeOs
Source: Alexandria via LeMat-Bulk
Functional: PBE
Structure: optimized geometry

The value obtained for the energy relative to the elements, uncorrected is 904 kJ/mol of formula units. The distance to the lowest polymorph of the same formula is 1.868 eV per atom.

Lattice parameters (Å, degrees): 5.9200 5.9200 5.8763 90.00 90.00 90.00
Positions (direct):
Sb  0.0000  0.5000  0.0000
Sb  0.5000  0.0000  0.0000
Te  0.0000  0.0000  0.5000
Os  0.5000  0.5000  0.5000
La  0.0000  0.0000  0.0000